# 1
The following is a DFT calculation (PBE) of K2RbAsSe after structural relaxation.

Cell: 6.7275 6.7275 5.6287 Å, 90.00 90.00 90.00°
Space group P4/mmm (No. 123)
Asymmetric unit:
K 0.0000 0.5000 0.0000 (multiplicity 2)
Rb 0.0000 0.0000 0.0000 (multiplicity 1)
As 0.0000 0.0000 0.5000 (multiplicity 1)
Se 0.5000 0.5000 0.5000 (multiplicity 1)

Properties
DOS at the Fermi energy = 3.3 states/eV per cell
raw formation energy = 0.37 eV/atom
total moment = 0.31 μB per atom
E_tot = -9.4 eV per cell

# 2
The following is a DFT calculation (PBE) of K4Rb2SiAs2 after structural relaxation.

Cell: 15.3049 8.3306 7.5738 Å, 90.00 106.49 90.00°
Space group C2/m (No. 12)
Asymmetric unit:
K 0.1058 0.2310 0.4002 (multiplicity 8)
Rb 0.1731 0.5000 0.9369 (multiplicity 4)
Si 0.0000 0.0000 0.0000 (multiplicity 2)
As 0.0889 0.0000 0.8136 (multiplicity 4)

Properties
DOS at the Fermi energy = 10.1 states/eV per cell
raw formation energy = -0.07 eV/atom
total moment = 0.00 μB per atom
E_tot = -43.4 eV per cell

# 3
The following is a DFT calculation (PBE) of K2Rb4SiAs2 after structural relaxation.

Cell: 22.6763 9.8054 5.1294 Å, 90.00 93.84 90.00°
Space group C2/m (No. 12)
Asymmetric unit:
K 0.2481 0.0000 0.0140 (multiplicity 4)
Rb 0.1000 0.2491 0.4445 (multiplicity 8)
Si 0.0000 0.0000 0.0000 (multiplicity 2)
As 0.0947 0.0000 0.9408 (multiplicity 4)

Properties
DOS at the Fermi energy = 9.9 states/eV per cell
raw formation energy = -0.10 eV/atom
total moment = 0.00 μB per atom
E_tot = -43.4 eV per cell

# 4
The following is a DFT calculation (PBE) of KRb2SiAs2 after structural relaxation.

Cell: 8.3988 15.5098 6.6806 Å, 90.00 90.00 90.00°
Space group Ibam (No. 72)
Asymmetric unit:
K 0.0000 0.0000 0.2500 (multiplicity 4)
Rb 0.1842 0.3144 0.0000 (multiplicity 8)
Si 0.0000 0.5000 0.2500 (multiplicity 4)
As 0.1683 0.4257 0.5000 (multiplicity 8)

Properties
DOS at the Fermi energy = 11.9 states/eV per cell
raw formation energy = -0.29 eV/atom
total moment = 0.00 μB per atom
E_tot = -78.1 eV per cell